# 1
DFT (PBE) results for Ac3HgPt8 after structural relaxation.

Space group = R3m
Calculated formation energy = -0.92 eV per atom
Energy = -5.996 eV per atom

The structure in CIF format:
```
data_Ac3HgPt8
_cell_length_a 5.6074
_cell_length_b 5.6074
_cell_length_c 9.7196
_cell_angle_alpha 73.23
_cell_angle_beta 73.23
_cell_angle_gamma 60.00
_symmetry_space_group_name_H-M 'P 1'
_symmetry_Int_Tables_number 1
loop_
_symmetry_equiv_pos_as_xyz
'x,y,z'
loop_
_atom_site_label
_atom_site_fract_x
_atom_site_fract_y
_atom_site_fract_z
Pt1 0.1884 0.1884 0.4349
Pt2 0.9379 0.4361 0.6881
Pt3 0.9431 0.4367 0.1835
Pt4 0.9379 0.9379 0.6881
Pt5 0.6881 0.6881 0.9358
Pt6 0.4367 0.4367 0.1835
Pt7 0.4361 0.9379 0.6881
Pt8 0.4367 0.9431 0.1835
Hg1 0.8688 0.8688 0.3935
Ac1 0.5071 0.5071 0.4786
Ac2 0.3778 0.3778 0.8666
Ac3 0.9914 0.9914 0.0259
```


# 2
DFT (PBE) results for Ac3HgPt2 after structural relaxation.

Space group = Cmcm
Calculated formation energy = -0.73 eV per atom
Energy = -4.845 eV per atom

The structure in CIF format:
```
data_Ac3HgPt2
_cell_length_a 5.4519
_cell_length_b 7.4310
_cell_length_c 10.3167
_cell_angle_alpha 90.00
_cell_angle_beta 90.00
_cell_angle_gamma 111.52
_symmetry_space_group_name_H-M 'P 1'
_symmetry_Int_Tables_number 1
loop_
_symmetry_equiv_pos_as_xyz
'x,y,z'
loop_
_atom_site_label
_atom_site_fract_x
_atom_site_fract_y
_atom_site_fract_z
Ac1 0.3706 0.7411 0.9536
Ac2 0.3706 0.7411 0.5464
Ac3 0.8980 0.7961 0.2500
Ac4 0.6294 0.2589 0.4536
Ac5 0.6294 0.2589 0.0464
Ac6 0.1020 0.2039 0.7500
Pt1 0.0000 0.0000 0.5000
Pt2 0.4710 0.9420 0.2500
Pt3 0.0000 0.0000 0.0000
Pt4 0.5290 0.0580 0.7500
Hg1 0.7712 0.5425 0.7500
Hg2 0.2288 0.4575 0.2500
```